# 1
# PrNdCdAg GGA-PBE relaxed
# Fermi-level density of states, states/eV/f.u.: 3.712
# Relative energy among the computed polymorphs, meV per atom: 0
# Volume, Å³ per atom: 27.84
# Symmetry: P4mm, No. 99
data_PrNdCdAg
_chemical_formula_sum 'Pr1 Nd1 Cd1 Ag1'
_cell_length_a 3.829
_cell_length_b 3.829
_cell_length_c 7.595
_cell_angle_alpha 90.00
_cell_angle_beta 90.00
_cell_angle_gamma 90.00
_space_group_name_H-M_alt 'P 1'
_space_group_IT_number 1
_space_group_name_Hall 'P 1'
loop_
_atom_site_label
_atom_site_fract_x
_atom_site_fract_y
_atom_site_fract_z
_atom_site_occupancy
Pr1 0.500 0.500 0.113 1
Nd1 0.500 0.500 0.600 1
Cd1 0.000 0.000 0.854 1
Ag1 0.000 0.000 0.362 1

# 2
# Tb12Tl3O5 GGA-PBE relaxed
# Fermi-level density of states, states/eV/f.u.: 18.843
# Energy relative to the elements, uncorrected, meV per atom: -1505
# Volume, Å³ per atom: 24.16
# Symmetry: Ia-3d, No. 230
data_Tb12Tl3O5
_chemical_formula_sum 'Tb48 Tl12 O20'
_cell_length_a 13.591
_cell_length_b 13.591
_cell_length_c 13.591
_cell_angle_alpha 109.47
_cell_angle_beta 109.47
_cell_angle_gamma 109.47
_space_group_name_H-M_alt 'P 1'
_space_group_IT_number 1
_space_group_name_Hall 'P 1'
loop_
_atom_site_label
_atom_site_fract_x
_atom_site_fract_y
_atom_site_fract_z
_atom_site_occupancy
Tl1 0.750 0.375 0.125 1
Tl2 0.875 0.750 0.125 1
Tl3 0.375 0.750 0.625 1
Tl4 0.250 0.125 0.375 1
Tl5 0.875 0.125 0.250 1
Tl6 0.375 0.625 0.250 1
Tl7 0.625 0.375 0.750 1
Tl8 0.125 0.875 0.750 1
Tl9 0.750 0.875 0.625 1
Tl10 0.625 0.250 0.375 1
Tl11 0.125 0.250 0.875 1
Tl12 0.250 0.625 0.875 1
O1 0.125 0.375 0.250 1
O2 0.000 0.500 0.000 1
O3 0.000 0.000 0.000 1
O4 0.375 0.250 0.125 1
O5 0.500 0.000 0.500 1
O6 0.500 0.500 0.000 1
O7 0.125 0.750 0.375 1
O8 0.750 0.125 0.875 1
O9 0.750 0.625 0.375 1
O10 0.375 0.125 0.750 1
O11 0.625 0.875 0.250 1
O12 0.500 0.500 0.500 1
O13 0.500 0.000 0.000 1
O14 0.000 0.000 0.500 1
O15 0.250 0.375 0.625 1
O16 0.250 0.875 0.125 1
O17 0.000 0.500 0.500 1
O18 0.875 0.250 0.625 1
O19 0.625 0.750 0.875 1
O20 0.875 0.625 0.750 1
Tb1 0.696 0.106 0.008 1
Tb2 0.312 0.508 0.402 1
Tb3 0.992 0.394 0.304 1
Tb4 0.508 0.196 0.106 1
Tb5 0.590 0.696 0.688 1
Tb6 0.992 0.598 0.188 1
Tb7 0.312 0.804 0.410 1
Tb8 0.098 0.910 0.106 1
Tb9 0.598 0.992 0.688 1
Tb10 0.696 0.590 0.188 1
Tb11 0.804 0.492 0.394 1
Tb12 0.812 0.902 0.008 1
Tb13 0.106 0.696 0.508 1
Tb14 0.394 0.402 0.090 1
Tb15 0.090 0.902 0.394 1
Tb16 0.410 0.106 0.598 1
Tb17 0.090 0.188 0.196 1
Tb18 0.492 0.688 0.098 1
Tb19 0.812 0.910 0.304 1
Tb20 0.106 0.410 0.098 1
Tb21 0.394 0.992 0.804 1
Tb22 0.598 0.606 0.410 1
Tb23 0.902 0.812 0.508 1
Tb24 0.804 0.312 0.910 1
Tb25 0.402 0.394 0.590 1
Tb26 0.098 0.188 0.492 1
Tb27 0.196 0.688 0.090 1
Tb28 0.188 0.090 0.696 1
Tb29 0.606 0.008 0.196 1
Tb30 0.894 0.590 0.902 1
Tb31 0.508 0.312 0.902 1
Tb32 0.590 0.894 0.402 1
Tb33 0.910 0.812 0.804 1
Tb34 0.910 0.098 0.606 1
Tb35 0.894 0.304 0.492 1
Tb36 0.188 0.098 0.992 1
Tb37 0.606 0.598 0.910 1
Tb38 0.402 0.008 0.312 1
Tb39 0.304 0.410 0.812 1
Tb40 0.196 0.508 0.606 1
Tb41 0.902 0.090 0.894 1
Tb42 0.688 0.196 0.590 1
Tb43 0.492 0.804 0.894 1
Tb44 0.008 0.402 0.812 1
Tb45 0.410 0.304 0.312 1
Tb46 0.008 0.606 0.696 1
Tb47 0.688 0.492 0.598 1
Tb48 0.304 0.894 0.992 1

# 3
# TlZnS3 GGA-PBE relaxed
# Fermi-level density of states, states/eV/f.u.: 6.059
# Energy relative to the elements, uncorrected, meV per atom: 262
# Volume, Å³ per atom: 22.23
# Symmetry: Pm-3m, No. 221
data_TlZnS3
_chemical_formula_sum 'Tl1 Zn1 S3'
_cell_length_a 4.808
_cell_length_b 4.808
_cell_length_c 4.808
_cell_angle_alpha 90.00
_cell_angle_beta 90.00
_cell_angle_gamma 90.00
_space_group_name_H-M_alt 'P 1'
_space_group_IT_number 1
_space_group_name_Hall 'P 1'
loop_
_atom_site_label
_atom_site_fract_x
_atom_site_fract_y
_atom_site_fract_z
_atom_site_occupancy
S1 0.000 0.500 0.000 1
S2 0.000 0.000 0.500 1
S3 0.500 0.000 0.000 1
Tl1 0.500 0.500 0.500 1
Zn1 0.000 0.000 0.000 1

# 4
# BaBeAg GGA-PBE relaxed
# Fermi-level density of states, states/eV/f.u.: 1.625
# Relative energy among the computed polymorphs, meV per atom: 0
# Volume, Å³ per atom: 26.80
# Symmetry: P-1, No. 2
data_BaBeAg
_chemical_formula_sum 'Ba2 Be2 Ag2'
_cell_length_a 4.130
_cell_length_b 5.943
_cell_length_c 7.195
_cell_angle_alpha 107.31
_cell_angle_beta 106.63
_cell_angle_gamma 90.20
_space_group_name_H-M_alt 'P 1'
_space_group_IT_number 1
_space_group_name_Hall 'P 1'
loop_
_atom_site_label
_atom_site_fract_x
_atom_site_fract_y
_atom_site_fract_z
_atom_site_occupancy
Be1 0.720 0.919 0.439 1
Be2 0.280 0.081 0.561 1
Ba1 0.603 0.319 0.205 1
Ba2 0.397 0.681 0.795 1
Ag1 0.120 0.805 0.238 1
Ag2 0.880 0.195 0.762 1

# 5
# Co2TcSnH GGA-PBE relaxed
# Fermi-level density of states, states/eV/f.u.: 6.457
# Volume, Å³ per atom: 11.69
# Symmetry: P4/mmm, No. 123
# Total energy, eV per atom: -6.282
data_Co2TcSnH
_chemical_formula_sum 'Co2 Tc1 Sn1 H1'
_cell_length_a 3.901
_cell_length_b 3.901
_cell_length_c 3.841
_cell_angle_alpha 90.00
_cell_angle_beta 90.00
_cell_angle_gamma 90.00
_space_group_name_H-M_alt 'P 1'
_space_group_IT_number 1
_space_group_name_Hall 'P 1'
loop_
_atom_site_label
_atom_site_fract_x
_atom_site_fract_y
_atom_site_fract_z
_atom_site_occupancy
H1 0.000 0.000 0.000 1
Co1 0.000 0.500 0.000 1
Co2 0.500 0.000 0.000 1
Sn1 0.500 0.500 0.500 1
Tc1 0.000 0.000 0.500 1